Record 1
{
  "formula": "La2ZrSc",
  "functional": "PBE",
  "state": "relaxed",
  "n_ef_per_ev_cell": 6.641,
  "polymorph_energy_ev_per_atom": 0.040,
  "rho_g_cm3": 5.90,
  "energy_ev_per_cell": -24.2,
  "spacegroup": "Cm (8)",
  "lattice_angstrom": [[5.776, -1.718, 0.000], [5.776, 1.718, 0.000], [-1.032, 0.000, 5.869]],
  "species": ["La", "La", "Zr", "Sc"],
  "fractional_positions": [[0.000, 0.000, 0.000], [0.239, 0.239, 0.747], [0.752, 0.752, 0.261], [0.484, 0.484, 0.480]]
}

Record 2
{
  "formula": "La2ZrSc",
  "functional": "PBE",
  "state": "relaxed",
  "n_ef_per_ev_cell": 4.761,
  "polymorph_energy_ev_per_atom": 0.042,
  "rho_g_cm3": 5.88,
  "energy_ev_per_cell": -24.2,
  "spacegroup": "P4/mmm (123)",
  "lattice_angstrom": [[4.949, 0.000, 0.000], [0.000, 4.949, 0.000], [0.000, 0.000, 4.773]],
  "species": ["La", "La", "Zr", "Sc"],
  "fractional_positions": [[0.000, 0.500, 0.000], [0.500, 0.000, 0.000], [0.000, 0.000, 0.500], [0.500, 0.500, 0.500]]
}

Record 3
{
  "formula": "LaZrSc",
  "functional": "PBE",
  "state": "relaxed",
  "n_ef_per_ev_cell": 3.605,
  "polymorph_energy_ev_per_atom": 0.656,
  "rho_g_cm3": 4.85,
  "energy_ev_per_cell": -17.6,
  "spacegroup": "F-43m (216)",
  "lattice_angstrom": [[0.000, 3.611, 3.611], [3.611, 0.000, 3.611], [3.611, 3.611, 0.000]],
  "species": ["La", "Zr", "Sc"],
  "fractional_positions": [[0.000, 0.000, 0.000], [0.750, 0.750, 0.750], [0.500, 0.500, 0.500]]
}

Record 4
{
  "formula": "La2ZrSc",
  "functional": "PBE",
  "state": "relaxed",
  "n_ef_per_ev_cell": 4.726,
  "polymorph_energy_ev_per_atom": 0.040,
  "rho_g_cm3": 5.86,
  "energy_ev_per_cell": -24.2,
  "spacegroup": "P4/mmm (123)",
  "lattice_angstrom": [[3.494, 0.000, 0.000], [0.000, 3.494, 0.000], [0.000, 0.000, 9.613]],
  "species": ["La", "La", "Zr", "Sc"],
  "fractional_positions": [[0.000, 0.000, 0.246], [0.000, 0.000, 0.754], [0.500, 0.500, 0.000], [0.500, 0.500, 0.500]]
}

Record 5
{
  "formula": "La2ZrSc",
  "functional": "PBE",
  "state": "relaxed",
  "n_ef_per_ev_cell": 4.262,
  "polymorph_energy_ev_per_atom": 0.039,
  "rho_g_cm3": 5.88,
  "energy_ev_per_cell": -24.2,
  "spacegroup": "I4/mmm (139)",
  "lattice_angstrom": [[-2.490, 2.490, 4.715], [2.490, -2.490, 4.715], [2.490, 2.490, -4.715]],
  "species": ["La", "La", "Zr", "Sc"],
  "fractional_positions": [[0.250, 0.750, 0.500], [0.750, 0.250, 0.500], [0.000, 0.000, 0.000], [0.500, 0.500, 0.000]]
}

Record 6
{
  "formula": "La2ZrSc",
  "functional": "PBE",
  "state": "relaxed",
  "n_ef_per_ev_cell": 5.492,
  "polymorph_energy_ev_per_atom": 0.062,
  "rho_g_cm3": 5.96,
  "energy_ev_per_cell": -24.1,
  "spacegroup": "P2/m (10)",
  "lattice_angstrom": [[5.886, 0.000, 0.000], [0.000, 3.449, 0.000], [-2.177, 0.000, 5.680]],
  "species": ["La", "La", "Zr", "Sc"],
  "fractional_positions": [[0.000, 0.000, 0.000], [0.000, 0.500, 0.500], [0.500, 0.000, 0.500], [0.500, 0.500, 0.000]]
}

Record 7
{
  "formula": "La2ZrSc",
  "functional": "PBE",
  "state": "relaxed",
  "n_ef_per_ev_cell": 6.429,
  "polymorph_energy_ev_per_atom": 0.072,
  "rho_g_cm3": 5.91,
  "energy_ev_per_cell": -24.1,
  "spacegroup": "R3m (160)",
  "lattice_angstrom": [[1.731, 1.000, 11.209], [-1.731, 1.000, 11.209], [0.000, -1.999, 11.209]],
  "species": ["La", "La", "Zr", "Sc"],
  "fractional_positions": [[0.000, 0.000, 0.000], [0.165, 0.165, 0.165], [0.415, 0.415, 0.415], [0.584, 0.584, 0.584]]
}

Record 8
{
  "formula": "LaSe",
  "functional": "PBE",
  "state": "relaxed",
  "n_ef_per_ev_cell": 5.125,
  "rho_g_cm3": 6.52,
  "energy_ev_per_cell": -35.8,
  "spacegroup": "Cm (8)",
  "e_form_raw_ev_per_atom": -1.7669,
  "lattice_angstrom": [[5.653, -1.963, 0.000], [5.653, 1.963, 0.000], [-2.669, 0.000, 7.502]],
  "species": ["La", "La", "La", "Se", "Se", "Se"],
  "fractional_positions": [[0.000, 0.000, 0.000], [0.139, 0.139, 0.634], [0.812, 0.812, 0.348], [0.411, 0.411, 0.670], [0.528, 0.528, 0.308], [0.714, 0.714, 0.955]]
}

Record 9
{
  "formula": "LaSe2",
  "functional": "PBE",
  "state": "relaxed",
  "n_ef_per_ev_cell": 1.595,
  "rho_g_cm3": 5.55,
  "energy_ev_per_cell": -16.8,
  "spacegroup": "I4/mmm (139)",
  "e_form_raw_ev_per_atom": -1.6313,
  "lattice_angstrom": [[-2.721, 2.721, 2.997], [2.721, -2.721, 2.997], [2.721, 2.721, -2.997]],
  "species": ["La", "Se", "Se"],
  "fractional_positions": [[0.000, 0.000, 0.000], [0.250, 0.750, 0.500], [0.750, 0.250, 0.500]]
}

Record 10
{
  "formula": "La3Se2",
  "functional": "PBE",
  "state": "relaxed",
  "n_ef_per_ev_cell": 6.373,
  "polymorph_energy_ev_per_atom": 0.147,
  "rho_g_cm3": 6.56,
  "energy_ev_per_cell": -28.3,
  "spacegroup": "P-3m1 (164)",
  "e_form_raw_ev_per_atom": -1.3047,
  "lattice_angstrom": [[5.136, 0.000, 0.000], [-2.568, 4.448, 0.000], [0.000, 0.000, 6.364]],
  "species": ["La", "La", "La", "Se", "Se"],
  "fractional_positions": [[0.000, 0.000, 0.000], [0.333, 0.667, 0.329], [0.667, 0.333, 0.671], [0.333, 0.667, 0.815], [0.667, 0.333, 0.185]]
}

Record 11
{
  "formula": "LaSe",
  "functional": "PBE",
  "state": "relaxed",
  "n_ef_per_ev_cell": 5.114,
  "rho_g_cm3": 3.57,
  "energy_ev_per_cell": -44.5,
  "spacegroup": "I-43m (217)",
  "e_form_raw_ev_per_atom": -1.3616,
  "lattice_angstrom": [[-4.660, 4.660, 4.660], [4.660, -4.660, 4.660], [4.660, 4.660, -4.660]],
  "species": ["La", "La", "La", "La", "Se", "Se", "Se", "Se"],
  "fractional_positions": [[0.000, 0.000, 0.288], [0.000, 0.288, 0.000], [0.288, 0.000, 0.000], [0.712, 0.712, 0.712], [0.000, 0.000, 0.657], [0.000, 0.657, 0.000], [0.343, 0.343, 0.343], [0.657, 0.000, 0.000]]
}

Record 12
{
  "formula": "LaSe2",
  "functional": "PBE",
  "state": "relaxed",
  "rho_g_cm3": 5.42,
  "energy_ev_per_cell": -34.0,
  "spacegroup": "C2/m (12)",
  "e_form_raw_ev_per_atom": -1.6973,
  "lattice_angstrom": [[4.605, -2.585, 0.000], [4.605, 2.585, 0.000], [-0.905, 0.000, 7.642]],
  "species": ["La", "La", "Se", "Se", "Se", "Se"],
  "fractional_positions": [[0.185, 0.185, 0.229], [0.815, 0.815, 0.771], [0.145, 0.145, 0.837], [0.394, 0.394, 0.580], [0.606, 0.606, 0.420], [0.855, 0.855, 0.163]]
}

Record 13
{
  "formula": "LaSe2",
  "functional": "PBE",
  "state": "relaxed",
  "rho_g_cm3": 5.62,
  "energy_ev_per_cell": -33.6,
  "spacegroup": "P-1 (2)",
  "e_form_raw_ev_per_atom": -1.6362,
  "lattice_angstrom": [[4.265, 0.000, 0.000], [1.432, 5.340, 0.000], [0.043, 1.897, 7.695]],
  "species": ["La", "La", "Se", "Se", "Se", "Se"],
  "fractional_positions": [[0.071, 0.315, 0.277], [0.929, 0.685, 0.723], [0.288, 0.116, 0.687], [0.500, 0.500, 0.000], [0.500, 0.500, 0.500], [0.712, 0.884, 0.313]]
}

Record 14
{
  "formula": "LaSe5",
  "functional": "PBE",
  "state": "relaxed",
  "n_ef_per_ev_cell": 7.135,
  "rho_g_cm3": 6.51,
  "energy_ev_per_cell": -24.4,
  "spacegroup": "F-43m (216)",
  "e_form_raw_ev_per_atom": -0.3462,
  "lattice_angstrom": [[0.000, 4.084, 4.084], [4.084, 0.000, 4.084], [4.084, 4.084, 0.000]],
  "species": ["La", "Se", "Se", "Se", "Se", "Se"],
  "fractional_positions": [[0.000, 0.000, 0.000], [0.375, 0.375, 0.375], [0.375, 0.375, 0.875], [0.375, 0.875, 0.375], [0.750, 0.750, 0.750], [0.875, 0.375, 0.375]]
}

Record 15
{
  "formula": "LaSe",
  "functional": "PBE",
  "state": "relaxed",
  "n_ef_per_ev_cell": 7.445,
  "rho_g_cm3": 4.38,
  "energy_ev_per_cell": -45.8,
  "spacegroup": "I4/m (87)",
  "e_form_raw_ev_per_atom": -1.5151,
  "lattice_angstrom": [[-6.007, 6.007, 2.287], [6.007, -6.007, 2.287], [6.007, 6.007, -2.287]],
  "species": ["La", "La", "La", "La", "Se", "Se", "Se", "Se"],
  "fractional_positions": [[0.116, 0.673, 0.789], [0.327, 0.116, 0.443], [0.673, 0.884, 0.557], [0.884, 0.327, 0.211], [0.112, 0.237, 0.350], [0.237, 0.888, 0.125], [0.763, 0.112, 0.875], [0.888, 0.763, 0.650]]
}

Record 16
{
  "formula": "La4Se",
  "functional": "PBE",
  "state": "relaxed",
  "n_ef_per_ev_cell": 7.425,
  "polymorph_energy_ev_per_atom": 0.025,
  "rho_g_cm3": 6.26,
  "energy_ev_per_cell": -26.0,
  "spacegroup": "I4/m (87)",
  "e_form_raw_ev_per_atom": -0.5555,
  "lattice_angstrom": [[-4.738, 4.738, 1.874], [4.738, -4.738, 1.874], [4.738, 4.738, -1.874]],
  "species": ["La", "La", "La", "La", "Se"],
  "fractional_positions": [[0.074, 0.737, 0.810], [0.263, 0.074, 0.337], [0.737, 0.926, 0.663], [0.926, 0.263, 0.190], [0.500, 0.500, 0.000]]
}

Record 17
{
  "formula": "La4Se",
  "functional": "PBE",
  "state": "relaxed",
  "n_ef_per_ev_cell": 8.143,
  "polymorph_energy_ev_per_atom": 0.175,
  "rho_g_cm3": 6.05,
  "energy_ev_per_cell": -25.2,
  "spacegroup": "Im-3m (229)",
  "e_form_raw_ev_per_atom": -0.4058,
  "lattice_angstrom": [[-3.517, 3.517, 3.517], [3.517, -3.517, 3.517], [3.517, 3.517, -3.517]],
  "species": ["La", "La", "La", "La", "Se"],
  "fractional_positions": [[0.000, 0.000, 0.500], [0.000, 0.500, 0.000], [0.500, 0.000, 0.000], [0.500, 0.500, 0.500], [0.000, 0.000, 0.000]]
}

Record 18
{
  "formula": "LaSe",
  "functional": "PBE",
  "state": "relaxed",
  "n_ef_per_ev_cell": 2.137,
  "rho_g_cm3": 4.66,
  "energy_ev_per_cell": -11.4,
  "spacegroup": "F-43m (216)",
  "e_form_raw_ev_per_atom": -1.4717,
  "lattice_angstrom": [[0.000, 3.385, 3.385], [3.385, 0.000, 3.385], [3.385, 3.385, 0.000]],
  "species": ["La", "Se"],
  "fractional_positions": [[0.000, 0.000, 0.000], [0.250, 0.250, 0.250]]
}

Record 19
{
  "formula": "LaSe",
  "functional": "PBE",
  "state": "relaxed",
  "n_ef_per_ev_cell": 5.587,
  "rho_g_cm3": 4.78,
  "energy_ev_per_cell": -22.6,
  "spacegroup": "R-3m (166)",
  "e_form_raw_ev_per_atom": -1.4348,
  "lattice_angstrom": [[2.530, 1.461, 6.821], [-2.530, 1.461, 6.821], [0.000, -2.921, 6.821]],
  "species": ["La", "La", "Se", "Se"],
  "fractional_positions": [[0.238, 0.238, 0.238], [0.762, 0.762, 0.762], [0.092, 0.092, 0.092], [0.908, 0.908, 0.908]]
}

Record 20
{
  "formula": "La4Se3",
  "functional": "PBE",
  "state": "relaxed",
  "n_ef_per_ev_cell": 6.269,
  "polymorph_energy_ev_per_atom": 0.000,
  "rho_g_cm3": 6.04,
  "energy_ev_per_cell": -41.6,
  "spacegroup": "R-3m (166)",
  "e_form_raw_ev_per_atom": -1.6366,
  "lattice_angstrom": [[2.120, 1.224, 14.000], [-2.120, 1.224, 14.000], [0.000, -2.448, 14.000]],
  "species": ["La", "La", "La", "La", "Se", "Se", "Se"],
  "fractional_positions": [[0.122, 0.122, 0.122], [0.372, 0.372, 0.372], [0.628, 0.628, 0.628], [0.878, 0.878, 0.878], [0.252, 0.252, 0.252], [0.500, 0.500, 0.500], [0.748, 0.748, 0.748]]
}